[1]
A plane-wave DFT calculation with GGA-PBE was carried out for CdCo2Pt after structural relaxation.

The space group is P4/mmm (No. 123) and the conventional cell measures 4.493, 4.493 and 2.843 Å, with angles of 90.00, 90.00 and 90.00 degrees. The inequivalent atoms are Cd at (0.000, 0.000, 0.000), Co at (0.000, 0.500, 0.500) and Pt at (0.500, 0.500, 0.000).

As for the crystal system: tetragonal. The value obtained for the final energy is -20.341 eV/f.u.

[2]
A plane-wave DFT calculation with GGA-PBE was carried out for Cd2CoPt after structural relaxation.

The space group is P4mm (No. 99) and the conventional cell measures 2.925, 2.925 and 7.991 Å, with angles of 90.00, 90.00 and 90.00 degrees. The inequivalent atoms are Cd at (0.000, 0.000, 0.000), Cd at (0.500, 0.500, 0.311), Co at (0.000, 0.000, 0.547) and Pt at (0.500, 0.500, 0.742).

As for the crystal system: tetragonal. The value obtained for the final energy is -14.942 eV/f.u.

[3]
A plane-wave DFT calculation with GGA-PBE was carried out for CdCo2Pt2 after structural relaxation.

The space group is I4/mmm (No. 139) and the conventional cell measures 3.895, 3.895 and 10.684 Å, with angles of 90.00, 90.00 and 90.00 degrees. The inequivalent atoms are Cd at (0.000, 0.000, 0.000), Co at (0.000, 0.000, 0.400) and Pt at (0.000, 0.500, 0.250).

As for the crystal system: tetragonal. Its offset from the most stable computed form is 170.8 meV/atom. The value obtained for the final energy is -26.393 eV/f.u.

[4]
A plane-wave DFT calculation with GGA-PBE was carried out for CdCoPt4 after structural relaxation.

The space group is F-43m (No. 216) and the conventional cell measures 7.453, 7.453 and 7.453 Å, with angles of 90.00, 90.00 and 90.00 degrees. The inequivalent atoms are Cd at (0.000, 0.000, 0.000), Co at (0.250, 0.250, 0.750) and Pt at (0.125, 0.125, 0.375).

As for the crystal system: cubic. Its offset from the most stable computed form is 278.5 meV/atom. The value obtained for the final energy is -31.394 eV/f.u.

[5]
A plane-wave DFT calculation with GGA-PBE was carried out for CdCo2Pt2 after structural relaxation.

The space group is P4/mbm (No. 127) and the conventional cell measures 7.457, 7.457 and 2.763 Å, with angles of 90.00, 90.00 and 90.00 degrees. The inequivalent atoms are Cd at (0.000, 0.000, 0.000), Co at (0.166, 0.334, 0.500) and Pt at (0.131, 0.631, 0.000).

As for the crystal system: tetragonal. Its offset from the most stable computed form is 35.4 meV/atom. The value obtained for the final energy is -27.070 eV/f.u.

[6]
A plane-wave DFT calculation with GGA-PBE was carried out for CdCo2Pt after structural relaxation.

The space group is I-42d (No. 122) and the conventional cell measures 3.815, 3.815 and 18.331 Å, with angles of 90.00, 90.00 and 90.00 degrees. The inequivalent atoms are Cd at (0.000, 0.000, 0.000), Co at (0.169, 0.250, 0.625) and Pt at (0.000, 0.000, 0.500).

As for the crystal system: tetragonal. The value obtained for the final energy is -19.372 eV/f.u.

[7]
A plane-wave DFT calculation with GGA-PBE was carried out for Cd2CoPt after structural relaxation.

The space group is Pm (No. 6) and the conventional cell measures 2.882, 4.409 and 5.556 Å, with angles of 90.00, 104.65 and 90.00 degrees. The inequivalent atoms are Cd at (0.000, 0.000, 0.000), Cd at (0.336, 0.500, 0.680), Co at (0.603, 0.500, 0.213) and Pt at (0.729, 0.000, 0.460).

As for the crystal system: monoclinic. The value obtained for the final energy is -14.715 eV/f.u.

[8]
A plane-wave DFT calculation with GGA-PBE was carried out for CdCo2Pt after structural relaxation.

The space group is R3m (No. 160, hexagonal axes) and the conventional cell measures 2.7589, 2.7589 and 26.5154 Å, with angles of 90.00, 90.00 and 120.00 degrees. The inequivalent atoms are Cd at (0.0000, 0.0000, 0.0000), Co at (0.0000, 0.0000, 0.4904), Co at (0.0000, 0.0000, 0.7552) and Pt at (0.0000, 0.0000, 0.2380).

As for the crystal system: trigonal. The value obtained for the final energy is -20.735 eV/f.u.